No. 1
Density functional theory data (PBE-GGA) for a relaxed Li7Zn3Pd crystal.

Unit cell a=10.7496 b=10.7496 c=12.4799 alpha=90.00 beta=90.00 gamma=165.35
Closest atoms and distances in Å follow each position.
Atoms (fractional coordinates):
Li 0.0522 0.9478 0.6363  2 Pd 2.65, 5 Li 2.74-2.94, 2 Zn 2.80
Li 0.0522 0.9478 0.8637  2 Pd 2.65, 5 Li 2.74-2.94, 2 Zn 2.80
Li 0.0832 0.9168 0.0931  2 Pd 2.64, 4 Li 2.74-2.94, 4 Zn 2.78-2.82
Li 0.0832 0.9168 0.4069  2 Pd 2.64, 4 Li 2.74-2.94, 4 Zn 2.78-2.82
Li 0.1799 0.8201 0.7500  2 Li 2.74, 4 Zn 2.84
Li 0.2231 0.7769 0.1035  5 Zn 2.64-2.80, 2 Li 2.74
Li 0.2231 0.7769 0.3965  5 Zn 2.64-2.80, 2 Li 2.74
Li 0.7769 0.2231 0.6035  5 Zn 2.64-2.80, 2 Li 2.74
Li 0.7769 0.2231 0.8965  5 Zn 2.64-2.80, 2 Li 2.74
Li 0.8201 0.1799 0.2500  2 Li 2.74, 4 Zn 2.84
Li 0.9168 0.0832 0.5931  2 Pd 2.64, 4 Li 2.74-2.94, 4 Zn 2.78-2.82
Li 0.9168 0.0832 0.9069  2 Pd 2.64, 4 Li 2.74-2.94, 4 Zn 2.78-2.82
Li 0.9478 0.0522 0.1363  2 Pd 2.65, 5 Li 2.74-2.94, 2 Zn 2.80
Li 0.9478 0.0522 0.3637  2 Pd 2.65, 5 Li 2.74-2.94, 2 Zn 2.80
Zn 0.3437 0.6563 0.0552  9 Li 2.64-2.84, 2 Zn 2.74
Zn 0.3437 0.6563 0.4448  9 Li 2.64-2.84, 2 Zn 2.74
Zn 0.3466 0.6534 0.7500  1 Pd 2.61, 8 Li 2.73-2.82, 2 Zn 2.74
Zn 0.6534 0.3466 0.2500  1 Pd 2.61, 8 Li 2.73-2.82, 2 Zn 2.74
Zn 0.6563 0.3437 0.5552  9 Li 2.64-2.84, 2 Zn 2.74
Zn 0.6563 0.3437 0.9448  9 Li 2.64-2.84, 2 Zn 2.74
Pd 0.4691 0.5309 0.7500  1 Zn 2.61, 8 Li 2.64-2.65, 2 Pd 2.74
Pd 0.5309 0.4691 0.2500  1 Zn 2.61, 8 Li 2.64-2.65, 2 Pd 2.74

symmetry = Cmcm, No. 63
E_tot = -2.20 eV per atom

***

No. 2
Density functional theory data (PBE-GGA) for a relaxed ScTlTe2 crystal.

Unit cell a=7.7915 b=7.7915 c=11.0590 alpha=90.00 beta=90.00 gamma=90.00
Closest atoms and distances in Å follow each position.
Atoms (fractional coordinates):
Sc 0.0000 0.0000 0.0000  4 Te 2.79
Sc 0.0000 0.5000 0.2500  4 Te 2.79
Sc 0.5000 0.0000 0.7500  4 Te 2.79
Sc 0.5000 0.5000 0.5000  4 Te 2.79
Tl 0.0000 0.0000 0.5000  4 Te 3.42
Tl 0.0000 0.5000 0.7500  4 Te 3.42
Tl 0.5000 0.0000 0.2500  4 Te 3.42
Tl 0.5000 0.5000 0.0000  4 Te 3.42
Te 0.1858 0.2500 0.1250  2 Sc 2.79
Te 0.2500 0.6858 0.3750  2 Sc 2.79
Te 0.2500 0.8142 0.8750  2 Sc 2.79
Te 0.3142 0.2500 0.6250  2 Sc 2.79
Te 0.6858 0.7500 0.6250  2 Sc 2.79
Te 0.7500 0.1858 0.8750  2 Sc 2.79
Te 0.7500 0.3142 0.3750  2 Sc 2.79
Te 0.8142 0.7500 0.1250  2 Sc 2.79

symmetry = I-42d, No. 122
E_tot = -4.47 eV per atom
E_form (uncorrected) = -0.73 eV per atom

***

No. 3
Density functional theory data (PBE-GGA) for a relaxed TaCr2Si crystal.

Unit cell a=3.6344 b=3.6344 c=8.2781 alpha=90.00 beta=90.00 gamma=90.00
Closest atoms and distances in Å follow each position.
Atoms (fractional coordinates):
Ta 0.0000 0.0000 0.0000  8 Cr 2.57-2.75, 4 Si 2.75
Ta 0.5000 0.5000 0.5000  8 Cr 2.57-2.75, 4 Si 2.75
Cr 0.0000 0.0000 0.5000  4 Ta 2.57, 4 Cr 2.75, 4 Si 2.75
Cr 0.0000 0.5000 0.7500  4 Si 2.57, 4 Cr 2.75, 4 Ta 2.75
Cr 0.5000 0.0000 0.2500  4 Si 2.57, 4 Cr 2.75, 4 Ta 2.75
Cr 0.5000 0.5000 0.0000  4 Ta 2.57, 4 Cr 2.75, 4 Si 2.75
Si 0.0000 0.5000 0.2500  8 Cr 2.57-2.75, 4 Ta 2.75
Si 0.5000 0.0000 0.7500  8 Cr 2.57-2.75, 4 Ta 2.75

symmetry = I-4m2, No. 119
E_tot = -9.17 eV per atom
E_form (uncorrected) = -0.04 eV per atom